A geometry-optimized UPd14Au structure. Source: the Alexandria database, functional PBE.

a b c (Å): 5.7809 5.7809 7.6836
angles (deg): 90.00 90.00 90.00
Last column: nearest neighbours and their distance in Å.
Sites, in units of the cell vectors:
U (0.0000, 0.0000, 0.0000)  12 Pd 2.78-2.89
Pd (0.0000, 0.0000, 0.5000)  12 Pd 2.79-2.89
Pd (0.0000, 0.5000, 0.0000)  8 Pd 2.80, 2 Au 2.89, 2 U 2.89
Pd (0.0000, 0.5000, 0.5000)  12 Pd 2.81-2.89
Pd (0.2463, 0.2463, 0.2487)  1 U 2.78, 10 Pd 2.79-2.93, 1 Au 2.82
Pd (0.2463, 0.2463, 0.7513)  1 U 2.78, 10 Pd 2.79-2.93, 1 Au 2.82
Pd (0.2463, 0.7537, 0.2487)  1 U 2.78, 10 Pd 2.79-2.93, 1 Au 2.82
Pd (0.2463, 0.7537, 0.7513)  1 U 2.78, 10 Pd 2.79-2.93, 1 Au 2.82
Pd (0.5000, 0.0000, 0.0000)  8 Pd 2.80, 2 Au 2.89, 2 U 2.89
Pd (0.5000, 0.0000, 0.5000)  12 Pd 2.81-2.89
Pd (0.5000, 0.5000, 0.5000)  12 Pd 2.83-2.89
Pd (0.7537, 0.2463, 0.2487)  1 U 2.78, 10 Pd 2.79-2.93, 1 Au 2.82
Pd (0.7537, 0.2463, 0.7513)  1 U 2.78, 10 Pd 2.79-2.93, 1 Au 2.82
Pd (0.7537, 0.7537, 0.2487)  1 U 2.78, 10 Pd 2.79-2.93, 1 Au 2.82
Pd (0.7537, 0.7537, 0.7513)  1 U 2.78, 10 Pd 2.79-2.93, 1 Au 2.82
Au (0.5000, 0.5000, 0.0000)  12 Pd 2.82-2.89

Properties
**ΔH_f (0 K)**: -3.42 eV/f.u.



A geometry-optimized Sm2PuThSe4 structure. Source: the Alexandria database, functional PBE.

a b c (Å): 7.2350 4.1459 7.2518
angles (deg): 90.00 109.14 90.00
Last column: nearest neighbours and their distance in Å.
Sites, in units of the cell vectors:
Sm (0.0000, 0.0000, 0.0000)  6 Se 2.93-2.94
Sm (0.5000, 0.5000, 0.0000)  6 Se 2.96
Pu (0.0000, 0.5000, 0.5000)  6 Se 2.94
Th (0.5000, 0.0000, 0.5000)  6 Se 2.97
Se (0.2459, 0.5000, 0.2475)  3 Sm 2.93-2.96, 1 Pu 2.94, 2 Th 2.97
Se (0.2466, 0.0000, 0.7492)  3 Sm 2.94-2.96, 2 Pu 2.94, 1 Th 2.97
Se (0.7534, 0.0000, 0.2508)  3 Sm 2.94-2.96, 2 Pu 2.94, 1 Th 2.97
Se (0.7541, 0.5000, 0.7525)  3 Sm 2.93-2.96, 1 Pu 2.94, 2 Th 2.97

Properties
**VASP energy**: -7.321 eV/atom



A geometry-optimized Re2As structure. Source: the Alexandria database, functional PBE.

a b c (Å): 5.4896 5.4896 5.7775
angles (deg): 101.17 101.17 31.98
Last column: nearest neighbours and their distance in Å.
Sites, in units of the cell vectors:
Re (0.0372, 0.0372, 0.2951)  2 As 2.48, 3 Re 2.64-2.73
Re (0.3142, 0.3142, 0.3611)  3 As 2.53-2.70, 4 Re 2.73-2.75
Re (0.6858, 0.6858, 0.6389)  3 As 2.53-2.70, 4 Re 2.73-2.75
Re (0.9628, 0.9628, 0.7049)  2 As 2.48, 3 Re 2.64-2.73
As (0.3544, 0.3544, 0.9448)  5 Re 2.48-2.70
As (0.6456, 0.6456, 0.0552)  5 Re 2.48-2.70

Properties
**ΔH_f (0 K)**: 0.12 eV/f.u.



A geometry-optimized NbSeI structure. Source: the Alexandria database, functional PBE.

a b c (Å): 6.5143 3.6667 6.9530
angles (deg): 90.00 91.58 90.00
Last column: nearest neighbours and their distance in Å.
Sites, in units of the cell vectors:
Nb (0.1769, 0.2500, 0.4861)  3 Se 2.59
Nb (0.8231, 0.7500, 0.5139)  3 Se 2.59
Se (0.0812, 0.7500, 0.2366)  3 Nb 2.59
Se (0.9188, 0.2500, 0.7634)  3 Nb 2.59
I (0.4232, 0.7500, 0.7253)  3 Nb 2.93-3.03
I (0.5768, 0.2500, 0.2747)  3 Nb 2.93-3.03

Properties
**VASP energy**: -5.747 eV/atom



A geometry-optimized RbNaAuS2 structure. Source: the Alexandria database, functional PBE.

a b c (Å): 8.0279 8.0279 5.7141
angles (deg): 90.00 90.00 127.46
Last column: nearest neighbours and their distance in Å.
Sites, in units of the cell vectors:
Rb (0.2500, 0.7500, 0.7604)  4 S 3.41-3.43
Rb (0.7500, 0.2500, 0.2396)  4 S 3.41-3.43
Na (0.2500, 0.2500, 0.5000)  4 S 2.82
Na (0.7500, 0.7500, 0.5000)  4 S 2.82
Au (0.0000, 0.0000, 0.0000)  2 S 2.29
Au (0.5000, 0.5000, 0.0000)  2 S 2.29
S (0.1196, 0.8804, 0.2631)  1 Au 2.29
S (0.3804, 0.6196, 0.2631)  1 Au 2.29
S (0.6196, 0.3804, 0.7369)  1 Au 2.29
S (0.8804, 0.1196, 0.7369)  1 Au 2.29

Properties
**Distance to the lowest polymorph of the same formula**: 0.000 eV/atom



A geometry-optimized Sr2Ag2P structure. Source: the Alexandria database, functional PBE.

a b c (Å): 7.6313 7.6313 4.5362
angles (deg): 90.00 90.00 90.00
Last column: nearest neighbours and their distance in Å.
Sites, in units of the cell vectors:
Sr (0.1858, 0.3142, 0.0000)  6 Ag 3.05-3.31
Sr (0.3142, 0.8142, 0.0000)  6 Ag 3.05-3.31
Sr (0.6858, 0.1858, 0.0000)  6 Ag 3.05-3.31
Sr (0.8142, 0.6858, 0.0000)  6 Ag 3.05-3.31
Ag (0.1249, 0.6249, 0.5000)  1 Ag 2.70, 2 P 3.02
Ag (0.3751, 0.1249, 0.5000)  1 Ag 2.70, 2 P 3.02
Ag (0.6249, 0.8751, 0.5000)  1 Ag 2.70, 2 P 3.02
Ag (0.8751, 0.3751, 0.5000)  1 Ag 2.70, 2 P 3.02
P (0.0000, 0.0000, 0.5000)  4 Ag 3.02
P (0.5000, 0.5000, 0.5000)  4 Ag 3.02

Properties
**Distance to the lowest polymorph of the same formula**: 0.163 eV/atom
**ΔH_f (0 K)**: -1.45 eV/f.u.



A geometry-optimized Er2InPd4 structure. Source: the Alexandria database, functional PBE.

a b c (Å): 7.8536 7.8536 7.8536
angles (deg): 143.53 143.53 52.52
Last column: nearest neighbours and their distance in Å.
Sites, in units of the cell vectors:
Er (0.1277, 0.1277, 0.0000)  1 Pd 2.58
Er (0.8723, 0.8723, 0.0000)  1 Pd 2.58
In (0.5000, 0.5000, 0.0000)  6 Pd 2.46-2.66
Pd (0.0000, 0.5000, 0.5000)  2 In 2.46
Pd (0.3112, 0.3112, 0.0000)  1 Er 2.58, 1 In 2.66
Pd (0.5000, 0.0000, 0.5000)  2 In 2.46
Pd (0.6888, 0.6888, 0.0000)  1 Er 2.58, 1 In 2.66

Properties
**Distance to the lowest polymorph of the same formula**: 0.532 eV/atom
**ΔH_f (0 K)**: -1.29 eV/f.u.



A geometry-optimized CaPm2NpSb4 structure. Source: the Alexandria database, functional PBE.

a b c (Å): 7.7395 4.4728 7.7475
angles (deg): 90.00 109.13 90.00
Last column: nearest neighbours and their distance in Å.
Sites, in units of the cell vectors:
Ca (0.0000, 0.0000, 0.0000)  6 Sb 3.16-3.18
Pm (0.5000, 0.0000, 0.5000)  6 Sb 3.15-3.16
Pm (0.5000, 0.5000, 0.0000)  6 Sb 3.21-3.22
Np (0.0000, 0.5000, 0.5000)  6 Sb 3.09-3.13
Sb (0.2443, 0.0000, 0.7431)  2 Np 3.13, 3 Pm 3.15-3.21, 1 Ca 3.16
Sb (0.2466, 0.5000, 0.2564)  1 Np 3.09, 3 Pm 3.16-3.22, 2 Ca 3.18
Sb (0.7534, 0.5000, 0.7436)  1 Np 3.09, 3 Pm 3.16-3.22, 2 Ca 3.18
Sb (0.7557, 0.0000, 0.2569)  2 Np 3.13, 3 Pm 3.15-3.21, 1 Ca 3.16

Properties
**VASP energy**: -5.955 eV/atom



A geometry-optimized Li4ZrS4 structure. Source: the Alexandria database, functional PBE.

a b c (Å): 6.5215 6.5215 9.1967
angles (deg): 123.73 123.73 33.35
Last column: nearest neighbours and their distance in Å.
Sites, in units of the cell vectors:
Li (0.1495, 0.1495, 0.3767)  4 S 2.42-2.45
Li (0.2908, 0.2908, 0.1795)  5 S 2.49-2.76
Li (0.7092, 0.7092, 0.8205)  5 S 2.49-2.76
Li (0.8505, 0.8505, 0.6233)  4 S 2.42-2.45
Zr (0.5000, 0.5000, 0.0000)  6 S 2.57-2.61
S (0.0766, 0.0766, 0.8809)  2 Li 2.42-2.49, 2 Zr 2.61
S (0.2706, 0.2706, 0.7021)  5 Li 2.42-2.50, 1 Zr 2.57
S (0.7294, 0.7294, 0.2979)  5 Li 2.42-2.50, 1 Zr 2.57
S (0.9234, 0.9234, 0.1191)  2 Li 2.42-2.49, 2 Zr 2.61

Properties
**VASP energy**: -5.045 eV/atom



A geometry-optimized MgAlPb structure. Source: the Alexandria database, functional PBE.

a b c (Å): 9.7808 9.7808 4.5278
angles (deg): 90.00 90.00 160.52
Last column: nearest neighbours and their distance in Å.
Sites, in units of the cell vectors:
Mg (0.0970, 0.9030, 0.7500)  6 Al 3.04-3.05, 2 Mg 3.31, 4 Pb 3.34
Mg (0.9030, 0.0970, 0.2500)  6 Al 3.04-3.05, 2 Mg 3.31, 4 Pb 3.34
Al (0.4642, 0.5358, 0.7500)  2 Al 2.65
Al (0.5358, 0.4642, 0.2500)  2 Al 2.65
Pb (0.3088, 0.6912, 0.7500)  1 Al 3.00, 2 Pb 3.31, 4 Mg 3.34
Pb (0.6912, 0.3088, 0.2500)  1 Al 3.00, 2 Pb 3.31, 4 Mg 3.34

Properties
**ΔH_f (0 K)**: 0.13 eV/f.u.



A geometry-optimized Ni3GeP structure. Source: the Alexandria database, functional PBE.

a b c (Å): 6.2508 6.2508 6.0675
angles (deg): 94.65 94.65 31.67
Last column: nearest neighbours and their distance in Å.
Sites, in units of the cell vectors:
Ni (0.0000, 0.0000, 0.0000)  1 P 2.25, 3 Ge 2.37-2.39
Ni (0.1202, 0.1202, 0.6460)  3 P 2.26-2.33, 2 Ge 2.42, 1 Ni 2.47
Ni (0.3050, 0.3050, 0.4964)  3 P 2.30-2.32, 3 Ge 2.41-2.47, 1 Ni 2.47
Ni (0.3237, 0.3237, 0.9259)  2 P 2.26, 1 Ge 2.39
Ni (0.5097, 0.5097, 0.3354)  2 P 2.34, 3 Ge 2.39-2.53
Ni (0.6677, 0.6677, 0.0404)  3 P 2.27-2.28, 1 Ge 2.50
Ge (0.4855, 0.4855, 0.7231)  7 Ni 2.39-2.47
Ge (0.8570, 0.8570, 0.2448)  8 Ni 2.37-2.58
P (0.1367, 0.1367, 0.2779)  7 Ni 2.25-2.34
P (0.7502, 0.7502, 0.7180)  7 Ni 2.26-2.33

Properties
**Distance to the lowest polymorph of the same formula**: 0.000 eV/atom
**ΔH_f (0 K)**: -1.73 eV/f.u.



A geometry-optimized In3GaMo structure. Source: the Alexandria database, functional PBE.

a b c (Å): 5.3000 5.3000 5.3000
angles (deg): 90.00 90.00 90.00
Last column: nearest neighbours and their distance in Å.
Sites, in units of the cell vectors:
In (0.0000, 0.0000, 0.5000)  2 Mo 2.65
In (0.0000, 0.5000, 0.0000)  2 Mo 2.65
In (0.5000, 0.0000, 0.0000)  2 Mo 2.65
Ga (0.5000, 0.5000, 0.5000)  12 In 3.75
Mo (0.0000, 0.0000, 0.0000)  6 In 2.65

Properties
**Distance to the lowest polymorph of the same formula**: 0.000 eV/atom
**ΔH_f (0 K)**: 2.67 eV/f.u.



> Number 9 is which compound?

Li4ZrS4